First-principles (PBE) data for an optimized crystal structure of BaSiWC2, as listed in Alexandria via LeMat-Bulk.

Cell lengths 4.221, 4.221, 5.976 Å; angles 90.00, 90.00, 90.00 degrees
Fractional coordinates of all 5 atoms:
Ba 0.000 0.000 0.000
Si 0.500 0.500 0.000
W 0.000 0.000 0.500
C 0.000 0.500 0.500
C 0.500 0.000 0.500

Output
Uncorrected formation energy = 1.84 eV per atom
Total magnetization = 0.005 μB/cell